VASP calculation (PBE) on a relaxed GeAsI2O crystal.

Results
energy	-16.827	eV per formula unit
SG	P4/mmm (123)
formation energy without anion corrections	0.100	eV per atom
E above lowest polymorph	0.0633	eV/atom

abc: 5.8130 5.8130 3.7072
angles: 90.00 90.00 90.00
With the nearest neighbours (Å) after each atom.
Fractional coordinates of all 5 atoms:
Ge 0.0000 0.0000 0.0000  2 O 1.85
As 0.5000 0.5000 0.5000  8 I 3.45, 2 As 3.71
I 0.0000 0.5000 0.0000  2 Ge 2.91
I 0.5000 0.0000 0.0000  2 Ge 2.91
O 0.0000 0.0000 0.5000  2 Ge 1.85